No. 1
# Na2SnN | Alexandria | PBE-GGA | optimized geometry
# Total moment, Bohr magnetons per cell: 0.0
# DOS(E_F), states/eV per cell: 12.10
# Energy relative to the elements, uncorrected, eV per atom: 0.326
data_Na2SnN
_chemical_formula_sum 'Na8 Sn4 N4'
_space_group_name_H-M_alt 'I -4 2 d'
_space_group_IT_number 122
_space_group_name_Hall 'I -4 2bw'
_cell_length_a 9.175
_cell_length_b 9.175
_cell_length_c 4.490
_cell_angle_alpha 90.00
_cell_angle_beta 90.00
_cell_angle_gamma 90.00
loop_
_atom_site_label
_atom_site_fract_x
_atom_site_fract_y
_atom_site_fract_z
Na1 0.101 0.250 0.125
Sn1 0.000 0.000 0.500
N1 0.000 0.000 0.000


No. 2
# Na3SnN | Alexandria | PBE-GGA | optimized geometry
# Total moment, Bohr magnetons per cell: 4.0
# DOS(E_F), states/eV per cell: 1.80
# Energy relative to the elements, uncorrected, eV per atom: 1.035
data_Na3SnN
_chemical_formula_sum 'Na3 Sn1 N1'
_space_group_name_H-M_alt 'P m -3 m'
_space_group_IT_number 221
_space_group_name_Hall '-P 4 2 3'
_cell_length_a 6.015
_cell_length_b 6.015
_cell_length_c 6.015
_cell_angle_alpha 90.00
_cell_angle_beta 90.00
_cell_angle_gamma 90.00
loop_
_atom_site_label
_atom_site_fract_x
_atom_site_fract_y
_atom_site_fract_z
Na1 0.000 0.000 0.500
Sn1 0.000 0.000 0.000
N1 0.500 0.500 0.500


No. 3
# NaTa4SnN8 | Alexandria | PBE-GGA | optimized geometry
# Total moment, Bohr magnetons per cell: 0.0
# DOS(E_F), states/eV per cell: 8.47
# Energy relative to the elements, uncorrected, eV per atom: -0.664
data_NaTa4SnN8
_chemical_formula_sum 'Na3 Ta12 Sn3 N24'
_space_group_name_H-M_alt 'R 3 m'
_space_group_IT_number 160
_space_group_name_Hall 'R 3 -2"'
_cell_length_a 6.2616
_cell_length_b 6.2616
_cell_length_c 15.8240
_cell_angle_alpha 90.00
_cell_angle_beta 90.00
_cell_angle_gamma 120.00
loop_
_atom_site_label
_atom_site_fract_x
_atom_site_fract_y
_atom_site_fract_z
Na1 0.0000 0.0000 0.0000
Ta1 0.0000 0.0000 0.3763
Ta2 0.0062 0.5031 0.4997
Sn1 0.0000 0.0000 0.6186
N1 0.0000 0.0000 0.2418
N2 0.0000 0.0000 0.7572
N3 0.1684 0.3368 0.0916
N4 0.1769 0.3538 0.5667


No. 4
# NaTaSn2N | Alexandria | PBE-GGA | optimized geometry
# Total moment, Bohr magnetons per cell: 1.1
# DOS(E_F), states/eV per cell: 3.63
# Energy relative to the elements, uncorrected, eV per atom: 0.772
data_NaTaSn2N
_chemical_formula_sum 'Na1 Ta1 Sn2 N1'
_space_group_name_H-M_alt 'P 4/m m m'
_space_group_IT_number 123
_space_group_name_Hall '-P 4 2'
_cell_length_a 4.684
_cell_length_b 4.684
_cell_length_c 4.295
_cell_angle_alpha 90.00
_cell_angle_beta 90.00
_cell_angle_gamma 90.00
loop_
_atom_site_label
_atom_site_fract_x
_atom_site_fract_y
_atom_site_fract_z
Na1 0.000 0.000 0.000
Ta1 0.500 0.500 0.000
Sn1 0.000 0.500 0.500
N1 0.000 0.000 0.500


No. 5
# NaSnTe2N | Alexandria | PBE-GGA | optimized geometry
# Total moment, Bohr magnetons per cell: 2.9
# DOS(E_F), states/eV per cell: 5.25
# Energy relative to the elements, uncorrected, eV per atom: 0.958
data_NaSnTe2N
_chemical_formula_sum 'Na1 Sn1 Te2 N1'
_space_group_name_H-M_alt 'P 4/m m m'
_space_group_IT_number 123
_space_group_name_Hall '-P 4 2'
_cell_length_a 5.702
_cell_length_b 5.702
_cell_length_c 4.422
_cell_angle_alpha 90.00
_cell_angle_beta 90.00
_cell_angle_gamma 90.00
loop_
_atom_site_label
_atom_site_fract_x
_atom_site_fract_y
_atom_site_fract_z
Na1 0.000 0.000 0.000
Sn1 0.500 0.500 0.500
Te1 0.000 0.500 0.000
N1 0.000 0.000 0.500


No. 6
# NaSnTe2N | Alexandria | PBE-GGA | optimized geometry
# Total moment, Bohr magnetons per cell: 0.0
# DOS(E_F), states/eV per cell: 5.11
# Energy relative to the elements, uncorrected, eV per atom: 0.401
data_NaSnTe2N
_chemical_formula_sum 'Na1 Sn1 Te2 N1'
_space_group_name_H-M_alt 'P 4/m m m'
_space_group_IT_number 123
_space_group_name_Hall '-P 4 2'
_cell_length_a 6.177
_cell_length_b 6.177
_cell_length_c 3.842
_cell_angle_alpha 90.00
_cell_angle_beta 90.00
_cell_angle_gamma 90.00
loop_
_atom_site_label
_atom_site_fract_x
_atom_site_fract_y
_atom_site_fract_z
Na1 0.000 0.000 0.000
Sn1 0.500 0.500 0.500
Te1 0.000 0.500 0.500
N1 0.500 0.500 0.000


No. 7
# Na4U3SnN8 | Alexandria | PBE-GGA | optimized geometry
# Total moment, Bohr magnetons per cell: 0.0
# DOS(E_F), states/eV per cell: 11.14
# Energy relative to the elements, uncorrected, eV per atom: -0.771
data_Na4U3SnN8
_chemical_formula_sum 'Na12 U9 Sn3 N24'
_space_group_name_H-M_alt 'R -3 m'
_space_group_IT_number 166
_space_group_name_Hall '-R 3 2"'
_cell_length_a 7.0453
_cell_length_b 7.0453
_cell_length_c 16.9504
_cell_angle_alpha 90.00
_cell_angle_beta 90.00
_cell_angle_gamma 120.00
loop_
_atom_site_label
_atom_site_fract_x
_atom_site_fract_y
_atom_site_fract_z
Na1 0.0000 0.0000 0.0000
Na2 0.0000 0.5000 0.0000
U1 0.0000 0.5000 0.5000
Sn1 0.0000 0.0000 0.5000
N1 0.0000 0.0000 0.2308
N2 0.0411 0.5206 0.7727


No. 8
# NaSrN2 | Alexandria | PBE-GGA | optimized geometry
# Total moment, Bohr magnetons per cell: 12.0
# DOS(E_F), states/eV per cell: 3.88
# Energy relative to the elements, uncorrected, eV per atom: 0.573
data_NaSrN2
_chemical_formula_sum 'Na4 Sr4 N8'
_space_group_name_H-M_alt 'F m -3 m'
_space_group_IT_number 225
_space_group_name_Hall '-F 4 2 3'
_cell_length_a 6.276
_cell_length_b 6.276
_cell_length_c 6.276
_cell_angle_alpha 90.00
_cell_angle_beta 90.00
_cell_angle_gamma 90.00
loop_
_atom_site_label
_atom_site_fract_x
_atom_site_fract_y
_atom_site_fract_z
Na1 0.000 0.000 0.000
Sr1 0.000 0.000 0.500
N1 0.250 0.250 0.250


No. 9
# NaSrN2 | Alexandria | PBE-GGA | optimized geometry
# Total moment, Bohr magnetons per cell: 9.0
# DOS(E_F), states/eV per cell: 10.41
# Energy relative to the elements, uncorrected, eV per atom: 0.778
data_NaSrN2
_chemical_formula_sum 'Na3 Sr3 N6'
_space_group_name_H-M_alt 'R -3 m'
_space_group_IT_number 166
_space_group_name_Hall '-R 3 2"'
_cell_length_a 4.0522
_cell_length_b 4.0522
_cell_length_c 20.3814
_cell_angle_alpha 90.00
_cell_angle_beta 90.00
_cell_angle_gamma 120.00
loop_
_atom_site_label
_atom_site_fract_x
_atom_site_fract_y
_atom_site_fract_z
Na1 0.0000 0.0000 0.0000
Sr1 0.0000 0.0000 0.5000
N1 0.0000 0.0000 0.1119


No. 10
# NaSr6N | Alexandria | PBE-GGA | optimized geometry
# Total moment, Bohr magnetons per cell: 0.0
# DOS(E_F), states/eV per cell: 6.73
# Energy relative to the elements, uncorrected, eV per atom: -0.115
data_NaSr6N
_chemical_formula_sum 'Na1 Sr6 N1'
_space_group_name_H-M_alt 'P -1'
_space_group_IT_number 2
_cell_length_a 7.560
_cell_length_b 7.561
_cell_length_c 8.230
_cell_angle_alpha 62.71
_cell_angle_beta 62.79
_cell_angle_gamma 60.07
loop_
_space_group_symop_operation_xyz
'x,y,z'
'-x,-y,-z'
loop_
_atom_site_label
_atom_site_fract_x
_atom_site_fract_y
_atom_site_fract_z
Na1 0.000 0.000 0.000
Sr1 0.119 0.688 0.719
Sr2 0.312 0.524 0.281
Sr3 0.475 0.119 0.719
N1 0.500 0.500 0.500


No. 11
# Na2Sr5N | Alexandria | PBE-GGA | optimized geometry
# Total moment, Bohr magnetons per cell: 0.0
# DOS(E_F), states/eV per cell: 13.95
# Energy relative to the elements, uncorrected, eV per atom: -0.088
data_Na2Sr5N
_chemical_formula_sum 'Na4 Sr10 N2'
_space_group_name_H-M_alt 'I 4 m m'
_space_group_IT_number 107
_space_group_name_Hall 'I 4 -2'
_cell_length_a 7.907
_cell_length_b 7.907
_cell_length_c 11.784
_cell_angle_alpha 90.00
_cell_angle_beta 90.00
_cell_angle_gamma 90.00
loop_
_atom_site_label
_atom_site_fract_x
_atom_site_fract_y
_atom_site_fract_z
Na1 0.000 0.500 0.000
Sr1 0.000 0.000 0.493
Sr2 0.225 0.225 0.249
N1 0.000 0.000 0.285


No. 12
# NaSr4N2 | Alexandria | PBE-GGA | optimized geometry
# Total moment, Bohr magnetons per cell: 0.0
# DOS(E_F), states/eV per cell: 7.76
# Energy relative to the elements, uncorrected, eV per atom: -0.389
data_NaSr4N2
_chemical_formula_sum 'Na2 Sr8 N4'
_space_group_name_H-M_alt 'C 1 2/m 1'
_space_group_IT_number 12
_cell_length_a 20.348
_cell_length_b 3.853
_cell_length_c 6.696
_cell_angle_alpha 90.00
_cell_angle_beta 107.90
_cell_angle_gamma 90.00
loop_
_space_group_symop_operation_xyz
'x,y,z'
'-x,-y,-z'
'-x,y,-z'
'x,-y,z'
'x+1/2,y+1/2,z'
'-x+1/2,-y+1/2,-z'
'-x+1/2,y+1/2,-z'
'x+1/2,-y+1/2,z'
loop_
_atom_site_label
_atom_site_fract_x
_atom_site_fract_y
_atom_site_fract_z
Na1 0.000 0.000 0.000
Sr1 0.177 0.000 0.512
Sr2 0.181 0.500 0.022
N1 0.246 0.500 0.744


No. 13
# NaSr3N | Alexandria | PBE-GGA | optimized geometry
# Total moment, Bohr magnetons per cell: 0.0
# DOS(E_F), states/eV per cell: 5.71
# Energy relative to the elements, uncorrected, eV per atom: -0.263
data_NaSr3N
_chemical_formula_sum 'Na2 Sr6 N2'
_space_group_name_H-M_alt 'P 1 21/m 1'
_space_group_IT_number 11
_cell_length_a 3.912
_cell_length_b 11.046
_cell_length_c 8.366
_cell_angle_alpha 90.00
_cell_angle_beta 103.48
_cell_angle_gamma 90.00
loop_
_space_group_symop_operation_xyz
'x,y,z'
'-x,-y,-z'
'-x,y+1/2,-z'
'x,-y+1/2,z'
loop_
_atom_site_label
_atom_site_fract_x
_atom_site_fract_y
_atom_site_fract_z
Na1 0.248 0.250 0.498
Sr1 0.106 0.523 0.212
Sr2 0.479 0.750 0.957
N1 0.500 0.000 0.000